Entry 1:
Compound: Pm4BiSbS2
Source: Alexandria
Functional: PBE
Structure: optimized geometry Values from VASP.

Geometry as Quantum ESPRESSO input:
```
&SYSTEM
  ibrav = 0, nat = 8, ntyp = 4
/
ATOMIC_SPECIES
Pm 145.00 Pm.upf
Bi 208.98 Bi.upf
Sb 121.76 Sb.upf
S 32.06 S.upf
ATOMIC_POSITIONS crystal
Pm 0.237 0.000 0.221
Pm 0.255 0.500 0.776
Pm 0.745 0.500 0.224
Pm 0.763 0.000 0.779
Bi 0.500 0.500 0.500
Sb 0.000 0.000 0.500
S 0.000 0.500 0.000
S 0.500 0.000 0.000
CELL_PARAMETERS angstrom
7.404 0.000 0.000
0.000 4.281 0.000
-2.475 0.000 7.042
```

Values from the calculation:
space-group type	P2/m
E_form (uncorrected)	-1.4947	eV/atom

Entry 2:
Compound: Rb4Ag3SnBr12
Source: Alexandria
Functional: PBE
Structure: optimized geometry Values from VASP.

Geometry as Quantum ESPRESSO input:
```
&SYSTEM
  ibrav = 0, nat = 20, ntyp = 4
/
ATOMIC_SPECIES
Rb 85.47 Rb.upf
Ag 107.87 Ag.upf
Sn 118.71 Sn.upf
Br 79.90 Br.upf
ATOMIC_POSITIONS crystal
Rb 0.000 0.000 0.500
Rb 0.000 0.500 0.000
Rb 0.500 0.000 0.000
Rb 0.500 0.500 0.500
Ag 0.000 0.500 0.500
Ag 0.500 0.000 0.500
Ag 0.500 0.500 0.000
Sn 0.000 0.000 0.000
Br 0.000 0.240 0.240
Br 0.000 0.760 0.760
Br 0.240 0.000 0.240
Br 0.240 0.240 0.000
Br 0.250 0.500 0.750
Br 0.250 0.750 0.500
Br 0.500 0.250 0.750
Br 0.500 0.750 0.250
Br 0.750 0.250 0.500
Br 0.750 0.500 0.250
Br 0.760 0.000 0.760
Br 0.760 0.760 0.000
CELL_PARAMETERS angstrom
-5.536 5.536 5.536
5.536 -5.536 5.536
5.536 5.536 -5.536
```

Values from the calculation:
space-group type	Im-3m
E_form (uncorrected)	-0.9756	eV/atom

Entry 3:
Compound: ZnAgI2F
Source: Alexandria
Functional: PBE
Structure: optimized geometry Values from VASP.

Geometry as Quantum ESPRESSO input:
```
&SYSTEM
  ibrav = 0, nat = 5, ntyp = 4
/
ATOMIC_SPECIES
Zn 65.41 Zn.upf
Ag 107.87 Ag.upf
I 126.90 I.upf
F 19.00 F.upf
ATOMIC_POSITIONS crystal
Zn 0.000 0.000 0.000
Ag 0.500 0.500 0.500
I 0.000 0.500 0.500
I 0.500 0.000 0.500
F 0.500 0.500 0.000
CELL_PARAMETERS angstrom
5.703 0.000 0.000
0.000 5.703 0.000
0.000 0.000 4.278
```

Values from the calculation:
space-group type	P4/mmm
E_form (uncorrected)	-0.2595	eV/atom

Entry 4:
Compound: Pu2ReN6
Source: Alexandria
Functional: PBE
Structure: optimized geometry Values from VASP.

Geometry as Quantum ESPRESSO input:
```
&SYSTEM
  ibrav = 0, nat = 18, ntyp = 3
/
ATOMIC_SPECIES
Pu 244.00 Pu.upf
Re 186.21 Re.upf
N 14.01 N.upf
ATOMIC_POSITIONS crystal
Pu 0.000 0.000 0.171
Pu 0.000 0.000 0.829
Pu 0.500 0.500 0.329
Pu 0.500 0.500 0.671
Re 0.000 0.000 0.500
Re 0.500 0.500 0.000
N 0.187 0.187 0.345
N 0.187 0.187 0.655
N 0.208 0.208 0.000
N 0.292 0.708 0.500
N 0.313 0.687 0.155
N 0.313 0.687 0.845
N 0.687 0.313 0.155
N 0.687 0.313 0.845
N 0.708 0.292 0.500
N 0.792 0.792 0.000
N 0.813 0.813 0.345
N 0.813 0.813 0.655
CELL_PARAMETERS angstrom
4.874 0.000 0.000
0.000 4.874 0.000
0.000 0.000 9.877
```

Values from the calculation:
space-group type	P4_2/mnm
E_form (uncorrected)	-0.2367	eV/atom

Entry 5:
Compound: Ce5UP6
Source: Alexandria
Functional: PBE
Structure: optimized geometry Values from VASP.

Geometry as Quantum ESPRESSO input:
```
&SYSTEM
  ibrav = 0, nat = 12, ntyp = 3
/
ATOMIC_SPECIES
Ce 140.12 Ce.upf
U 238.03 U.upf
P 30.97 P.upf
ATOMIC_POSITIONS crystal
Ce 0.000 0.000 0.000
Ce 0.166 0.834 0.500
Ce 0.331 0.669 0.000
Ce 0.669 0.331 0.000
Ce 0.834 0.166 0.500
U 0.500 0.500 0.500
P 0.093 0.419 0.255
P 0.257 0.257 0.746
P 0.419 0.093 0.255
P 0.581 0.907 0.745
P 0.743 0.743 0.254
P 0.907 0.581 0.745
CELL_PARAMETERS angstrom
3.521 -6.098 0.000
3.521 6.098 0.000
-2.347 0.000 6.638
```

Values from the calculation:
space-group type	C2/m
formation energy	-1.399	eV/atom

Entry 6:
Compound: MgNbTeI2
Source: Alexandria
Functional: PBE
Structure: optimized geometry Values from VASP.

Geometry as Quantum ESPRESSO input:
```
&SYSTEM
  ibrav = 0, nat = 5, ntyp = 4
/
ATOMIC_SPECIES
Mg 24.30 Mg.upf
Nb 92.91 Nb.upf
Te 127.60 Te.upf
I 126.90 I.upf
ATOMIC_POSITIONS crystal
Mg 0.000 0.000 0.000
Nb 0.500 0.500 0.500
Te 0.000 0.000 0.500
I 0.000 0.500 0.000
I 0.500 0.000 0.000
CELL_PARAMETERS angstrom
5.462 0.000 0.000
0.000 5.462 0.000
0.000 0.000 5.661
```

Values from the calculation:
space-group type	P4/mmm
E_form (uncorrected)	0.4921	eV/atom
ΔE to the lowest computed polymorph	0.4068	eV per atom

Entry 7:
Compound: Tb3Pm8Dy4
Source: Alexandria
Functional: PBE
Structure: optimized geometry Values from VASP.

Geometry as Quantum ESPRESSO input:
```
&SYSTEM
  ibrav = 0, nat = 15, ntyp = 3
/
ATOMIC_SPECIES
Tb 158.93 Tb.upf
Pm 145.00 Pm.upf
Dy 162.50 Dy.upf
ATOMIC_POSITIONS crystal
Tb 0.000 0.000 0.000
Tb 0.000 0.500 0.500
Tb 0.500 0.000 0.500
Pm 0.149 0.851 0.500
Pm 0.234 0.234 0.496
Pm 0.234 0.234 0.967
Pm 0.249 0.751 0.000
Pm 0.751 0.249 0.000
Pm 0.766 0.766 0.033
Pm 0.766 0.766 0.504
Pm 0.851 0.149 0.500
Dy 0.000 0.500 0.000
Dy 0.500 0.000 0.000
Dy 0.500 0.500 0.000
Dy 0.500 0.500 0.500
CELL_PARAMETERS angstrom
6.770 -6.412 0.000
6.770 6.412 0.000
-3.462 0.000 5.912
```

Values from the calculation:
space-group type	C2/m
formation energy	0.375	eV/atom
ΔE to the lowest computed polymorph	0.2235	eV per atom

Entry 8:
Compound: NbGeTe2I
Source: Alexandria
Functional: PBE
Structure: optimized geometry Values from VASP.

Geometry as Quantum ESPRESSO input:
```
&SYSTEM
  ibrav = 0, nat = 5, ntyp = 4
/
ATOMIC_SPECIES
Nb 92.91 Nb.upf
Ge 72.64 Ge.upf
Te 127.60 Te.upf
I 126.90 I.upf
ATOMIC_POSITIONS crystal
Nb 0.000 0.000 0.000
Ge 0.500 0.500 0.500
Te 0.000 0.500 0.000
Te 0.500 0.000 0.000
I 0.000 0.000 0.500
CELL_PARAMETERS angstrom
5.446 0.000 0.000
0.000 5.446 0.000
0.000 0.000 5.606
```

Values from the calculation:
space-group type	P4/mmm
E_form (uncorrected)	0.4155	eV/atom
ΔE to the lowest computed polymorph	0.0000	eV per atom

Entry 9:
Compound: VCrRe
Source: Alexandria
Functional: PBE
Structure: optimized geometry Values from VASP.

Geometry as Quantum ESPRESSO input:
```
&SYSTEM
  ibrav = 0, nat = 3, ntyp = 3
/
ATOMIC_SPECIES
V 50.94 V.upf
Cr 52.00 Cr.upf
Re 186.21 Re.upf
ATOMIC_POSITIONS crystal
V 0.000 0.000 0.000
Cr 0.660 0.660 0.000
Re 0.327 0.327 0.000
CELL_PARAMETERS angstrom
-1.491 1.491 4.477
1.491 -1.491 4.477
1.491 1.491 -4.477
```

Values from the calculation:
space-group type	I4mm
formation energy	-0.193	eV/atom
ΔE to the lowest computed polymorph	0.0000	eV per atom

Entry 10:
Compound: CsCuBiI5
Source: Alexandria
Functional: PBE
Structure: optimized geometry Values from VASP.

Geometry as Quantum ESPRESSO input:
```
&SYSTEM
  ibrav = 0, nat = 16, ntyp = 4
/
ATOMIC_SPECIES
Cs 132.91 Cs.upf
Cu 63.55 Cu.upf
Bi 208.98 Bi.upf
I 126.90 I.upf
ATOMIC_POSITIONS crystal
Cs 0.140 0.860 0.750
Cs 0.860 0.140 0.250
Cu 0.195 0.805 0.250
Cu 0.805 0.195 0.750
Bi 0.500 0.500 0.000
Bi 0.500 0.500 0.500
I 0.108 0.277 0.928
I 0.185 0.603 0.389
I 0.277 0.108 0.428
I 0.397 0.815 0.111
I 0.417 0.583 0.750
I 0.583 0.417 0.250
I 0.603 0.185 0.889
I 0.723 0.892 0.572
I 0.815 0.397 0.611
I 0.892 0.723 0.072
CELL_PARAMETERS angstrom
5.169 -6.845 0.000
5.169 6.845 0.000
-4.607 0.000 10.506
```

Values from the calculation:
space-group type	C2/c
E_form (uncorrected)	-0.6350	eV/atom

It is found that the magnetic moment values, taken in the order of the records, are 0.0 0.0 0.0 10.0 5.2 3.0 0.0 1.9 0.0 0.0 μB/cell.